[1]
# LiZn2Pt PBE optimized geometry
# Fermi-level density of states ... 1.07 states/eV/f.u.
# Theoretical density ... 9.56 Mg/m³
# Magnetic moment ... 0.0 μB/f.u.
# DFT formation energy ... -443 meV/atom
# Calculated volume ... 14.4 A^3/atom
data_LiZn2Pt
_cell_length_a 8.861
_cell_length_b 2.798
_cell_length_c 4.727
_cell_angle_alpha 90.00
_cell_angle_beta 99.47
_cell_angle_gamma 90.00
_symmetry_space_group_name_H-M 'C 1 2/m 1'
_symmetry_Int_Tables_number 12
loop_
_symmetry_equiv_pos_as_xyz
'x,y,z'
'-x,-y,-z'
'-x,y,-z'
'x,-y,z'
'x+1/2,y+1/2,z'
'-x+1/2,-y+1/2,-z'
'-x+1/2,y+1/2,-z'
'x+1/2,-y+1/2,z'
loop_
_atom_site_label
_atom_site_type_symbol
_atom_site_fract_x
_atom_site_fract_y
_atom_site_fract_z
_atom_site_occupancy
Li1 Li 0.000 0.000 0.000 1
Zn1 Zn 0.243 0.000 0.744 1
Pt1 Pt 0.000 0.500 0.500 1

---

[2]
# SnGe3As PBE optimized geometry
# Energy relative to the lowest polymorph listed for this composition ... 410 meV per atom
# Fermi-level density of states ... 2.83 states/eV/f.u.
# Theoretical density ... 4.73 Mg/m³
# Magnetic moment ... 0.0 μB/f.u.
# DFT formation energy ... 1016 meV/atom
# Calculated volume ... 28.9 A^3/atom
data_SnGe3As
_cell_length_a 5.249
_cell_length_b 5.249
_cell_length_c 5.249
_cell_angle_alpha 90.00
_cell_angle_beta 90.00
_cell_angle_gamma 90.00
_symmetry_space_group_name_H-M 'P m -3 m'
_symmetry_Int_Tables_number 221
_symmetry_space_group_name_Hall '-P 4 2 3'
loop_
_atom_site_label
_atom_site_type_symbol
_atom_site_fract_x
_atom_site_fract_y
_atom_site_fract_z
_atom_site_occupancy
Sn1 Sn 0.000 0.000 0.000 1
Ge1 Ge 0.000 0.000 0.500 1
As1 As 0.500 0.500 0.500 1

---

[3]
# MgAl2Cu2 PBE optimized geometry
# Fermi-level density of states ... 1.51 states/eV/f.u.
# Theoretical density ... 4.21 Mg/m³
# Magnetic moment ... 0.0 μB/f.u.
# DFT formation energy ... -73 meV/atom
# Calculated volume ... 16.2 A^3/atom
data_MgAl2Cu2
_cell_length_a 4.286
_cell_length_b 8.990
_cell_length_c 8.401
_cell_angle_alpha 90.00
_cell_angle_beta 90.22
_cell_angle_gamma 90.00
_symmetry_space_group_name_H-M 'C 1 2/c 1'
_symmetry_Int_Tables_number 15
loop_
_symmetry_equiv_pos_as_xyz
'x,y,z'
'-x,-y,-z'
'-x,y,-z+1/2'
'x,-y,z+1/2'
'x+1/2,y+1/2,z'
'-x+1/2,-y+1/2,-z'
'-x+1/2,y+1/2,-z+1/2'
'x+1/2,-y+1/2,z+1/2'
loop_
_atom_site_label
_atom_site_type_symbol
_atom_site_fract_x
_atom_site_fract_y
_atom_site_fract_z
_atom_site_occupancy
Mg1 Mg 0.000 0.132 0.250 1
Al1 Al 0.001 0.350 0.999 1
Cu1 Cu 0.000 0.182 0.750 1
Cu2 Cu 0.000 0.484 0.250 1

---

[4]
# KEu3Au PBE optimized geometry
# Fermi-level density of states ... 33.77 states/eV/f.u.
# Theoretical density ... 5.07 Mg/m³
# Magnetic moment ... 22.0 μB/f.u.
# DFT formation energy ... -239 meV/atom
# Calculated volume ... 45.3 A^3/atom
data_KEu3Au
_cell_length_a 6.096
_cell_length_b 6.096
_cell_length_c 6.096
_cell_angle_alpha 90.00
_cell_angle_beta 90.00
_cell_angle_gamma 90.00
_symmetry_space_group_name_H-M 'P m -3 m'
_symmetry_Int_Tables_number 221
_symmetry_space_group_name_Hall '-P 4 2 3'
loop_
_atom_site_label
_atom_site_type_symbol
_atom_site_fract_x
_atom_site_fract_y
_atom_site_fract_z
_atom_site_occupancy
K1 K 0.000 0.000 0.000 1
Eu1 Eu 0.000 0.500 0.500 1
Au1 Au 0.500 0.500 0.500 1

---

[5]
# AlOsW2 PBE optimized geometry
# Fermi-level density of states ... 2.43 states/eV/f.u.
# Theoretical density ... 15.84 Mg/m³
# Magnetic moment ... 0.0 μB/f.u.
# DFT formation energy ... -7 meV/atom
# Calculated volume ... 15.3 A^3/atom
data_AlOsW2
_cell_length_a 2.820
_cell_length_b 2.820
_cell_length_c 7.708
_cell_angle_alpha 90.00
_cell_angle_beta 90.00
_cell_angle_gamma 90.00
_symmetry_space_group_name_H-M 'P 4/m m m'
_symmetry_Int_Tables_number 123
_symmetry_space_group_name_Hall '-P 4 2'
loop_
_atom_site_label
_atom_site_type_symbol
_atom_site_fract_x
_atom_site_fract_y
_atom_site_fract_z
_atom_site_occupancy
Al1 Al 0.000 0.000 0.000 1
Os1 Os 0.000 0.000 0.500 1
W1 W 0.500 0.500 0.256 1

---

[6]
# Ni3IrBr PBE optimized geometry
# Energy relative to the lowest polymorph listed for this composition ... 41 meV per atom
# Fermi-level density of states ... 6.32 states/eV/f.u.
# Formation energy from raw total energies ... 1.21 eV/atom
# Theoretical density ... 9.57 Mg/m³
# Magnetic moment ... 0.0 μB/f.u.
# Calculated volume ... 15.6 A^3/atom
data_Ni3IrBr
_cell_length_a 4.269
_cell_length_b 4.269
_cell_length_c 4.269
_cell_angle_alpha 90.00
_cell_angle_beta 90.00
_cell_angle_gamma 90.00
_symmetry_space_group_name_H-M 'P m -3 m'
_symmetry_Int_Tables_number 221
_symmetry_space_group_name_Hall '-P 4 2 3'
loop_
_atom_site_label
_atom_site_type_symbol
_atom_site_fract_x
_atom_site_fract_y
_atom_site_fract_z
_atom_site_occupancy
Ni1 Ni 0.000 0.000 0.500 1
Ir1 Ir 0.500 0.500 0.500 1
Br1 Br 0.000 0.000 0.000 1

---

Number 1: total energy -3.069 eV per atom. Number 2: total energy -3.485 eV per atom. Number 3: total energy -3.527 eV per atom. Number 4: total energy -7.279 eV per atom. Number 5: total energy -10.227 eV per atom. Number 6: total energy -4.369 eV per atom.